1.
{
  "formula": "Tl2SbAu",
  "functional": "GGA-PBE",
  "state": "optimized geometry",
  "e_above_lowest_polymorph_mev_per_atom": 109,
  "sg": "Imm2 (44)",
  "e_tot_ev_per_atom": -3.002,
  "lattice": [[-1.7607, 2.7238, 5.7677], [1.7607, -2.7238, 5.7677], [1.7607, 2.7238, -5.7677]],
  "species": ["Tl", "Tl", "Sb", "Au"],
  "fractional_positions": [[0.0000, 0.0000, 0.0000], [0.7009, 0.2009, 0.5000], [0.2867, 0.7867, 0.5000], [0.4780, 0.4780, 0.0000]]
}

***

2.
{
  "formula": "Tl2SbAu",
  "functional": "GGA-PBE",
  "state": "optimized geometry",
  "e_above_lowest_polymorph_mev_per_atom": 149,
  "sg": "F-43m (216)",
  "e_tot_ev_per_atom": -2.961,
  "lattice": [[0.0000, 3.7547, 3.7547], [3.7547, 0.0000, 3.7547], [3.7547, 3.7547, 0.0000]],
  "species": ["Tl", "Tl", "Sb", "Au"],
  "fractional_positions": [[0.0000, 0.0000, 0.0000], [0.2500, 0.2500, 0.2500], [0.7500, 0.7500, 0.7500], [0.5000, 0.5000, 0.5000]]
}

***

3.
{
  "formula": "Tl2SbAu",
  "functional": "GGA-PBE",
  "state": "optimized geometry",
  "e_above_lowest_polymorph_mev_per_atom": 140,
  "sg": "P2/m (10)",
  "e_tot_ev_per_atom": -2.971,
  "lattice": [[3.2330, 0.0000, 0.0000], [0.0000, 5.6690, 0.0000], [-0.1169, 0.0000, 5.9086]],
  "species": ["Tl", "Tl", "Sb", "Au"],
  "fractional_positions": [[0.2032, 0.0000, 0.2557], [0.7968, 0.0000, 0.7443], [0.5000, 0.5000, 0.0000], [0.5000, 0.5000, 0.5000]]
}

***

4.
{
  "formula": "TlSbAu4",
  "functional": "GGA-PBE",
  "state": "optimized geometry",
  "e_above_lowest_polymorph_mev_per_atom": 0,
  "sg": "Cmcm (63)",
  "e_tot_ev_per_atom": -3.240,
  "lattice": [[2.3773, -11.0303, 0.0000], [2.3773, 11.0303, 0.0000], [0.0000, 0.0000, 5.7384]],
  "species": ["Tl", "Tl", "Sb", "Sb", "Au", "Au", "Au", "Au", "Au", "Au", "Au", "Au"],
  "fractional_positions": [[0.0904, 0.9096, 0.7500], [0.9096, 0.0904, 0.2500], [0.3953, 0.6047, 0.7500], [0.6047, 0.3953, 0.2500], [0.1679, 0.8321, 0.2500], [0.2848, 0.7152, 0.0081], [0.2848, 0.7152, 0.4919], [0.5000, 0.5000, 0.0000], [0.5000, 0.5000, 0.5000], [0.7152, 0.2848, 0.5081], [0.7152, 0.2848, 0.9919], [0.8321, 0.1679, 0.7500]]
}

***

5.
{
  "formula": "TlSbAu3",
  "functional": "GGA-PBE",
  "state": "optimized geometry",
  "e_above_lowest_polymorph_mev_per_atom": 17,
  "sg": "P2_1/c (14)",
  "e_tot_ev_per_atom": -3.248,
  "lattice": [[7.5441, 0.0000, 0.0000], [0.0000, 6.9993, 0.0000], [-0.6729, 0.0000, 8.9921]],
  "species": ["Tl", "Tl", "Tl", "Tl", "Sb", "Sb", "Sb", "Sb", "Au", "Au", "Au", "Au", "Au", "Au", "Au", "Au", "Au", "Au", "Au", "Au"],
  "fractional_positions": [[0.0420, 0.1088, 0.1927], [0.0420, 0.3912, 0.6927], [0.9580, 0.6088, 0.3073], [0.9580, 0.8912, 0.8073], [0.3555, 0.6821, 0.5711], [0.3555, 0.8179, 0.0711], [0.6445, 0.1821, 0.9289], [0.6445, 0.3179, 0.4289], [0.1749, 0.0437, 0.5580], [0.1749, 0.4563, 0.0580], [0.2817, 0.1240, 0.8750], [0.2817, 0.3760, 0.3750], [0.4366, 0.5339, 0.8476], [0.4366, 0.9661, 0.3476], [0.5634, 0.0339, 0.6524], [0.5634, 0.4661, 0.1524], [0.7183, 0.6240, 0.6250], [0.7183, 0.8760, 0.1250], [0.8251, 0.5437, 0.9420], [0.8251, 0.9563, 0.4420]]
}

***

6.
{
  "formula": "TlSb2Au",
  "functional": "GGA-PBE",
  "state": "optimized geometry",
  "e_above_lowest_polymorph_mev_per_atom": 63,
  "sg": "R3m (160)",
  "e_tot_ev_per_atom": -3.470,
  "lattice": [[2.1489, 1.2407, 7.2664], [-2.1489, 1.2407, 7.2664], [0.0000, -2.4813, 7.2664]],
  "species": ["Tl", "Sb", "Sb", "Au"],
  "fractional_positions": [[0.0000, 0.0000, 0.0000], [0.5577, 0.5577, 0.5577], [0.7700, 0.7700, 0.7700], [0.1649, 0.1649, 0.1649]]
}

***

Uncorrected formation energy across the listed records, respectively: 31; 72; 62; 26; 16; 2 meV/atom.